[1]
Material: RbSr2RuW
Method: DFT, PBE-GGA
State: optimized geometry

Output
ΔH_f (0 K) in eV per atom: 2.10
DFT total energy in eV for the cell shown: -16.1
Space group: P4/mmm
Magnetization in μB/atom: 1.046

Geometry as CIF:
```
data_RbSr2RuW
_chemical_formula_sum 'Rb1 Sr2 Ru1 W1'
_symmetry_space_group_name_H-M 'P 1'
_symmetry_Int_Tables_number 1
_cell_length_a 5.973
_cell_length_b 6.225
_cell_length_c 5.973
_cell_angle_alpha 90.00
_cell_angle_beta 90.00
_cell_angle_gamma 90.00
loop_
_symmetry_equiv_pos_as_xyz
'x,y,z'
loop_
_atom_site_label
_atom_site_type_symbol
_atom_site_fract_x
_atom_site_fract_y
_atom_site_fract_z
_atom_site_occupancy
W1 W 0.000 0.000 0.000 1
Rb1 Rb 0.000 0.500 0.000 1
Sr1 Sr 0.500 0.000 0.000 1
Sr2 Sr 0.000 0.000 0.500 1
Ru1 Ru 0.500 0.500 0.500 1
```

[2]
Material: Rb2SrZrRu
Method: DFT, PBE-GGA
State: optimized geometry

Output
ΔH_f (0 K) in eV per atom: 1.75
DFT total energy in eV for the cell shown: -12.7
Space group: P4/mmm
Magnetization in μB/atom: 0.558

Geometry as CIF:
```
data_Rb2SrZrRu
_chemical_formula_sum 'Rb2 Sr1 Zr1 Ru1'
_symmetry_space_group_name_H-M 'P 1'
_symmetry_Int_Tables_number 1
_cell_length_a 6.875
_cell_length_b 4.856
_cell_length_c 6.875
_cell_angle_alpha 90.00
_cell_angle_beta 90.00
_cell_angle_gamma 90.00
loop_
_symmetry_equiv_pos_as_xyz
'x,y,z'
loop_
_atom_site_label
_atom_site_type_symbol
_atom_site_fract_x
_atom_site_fract_y
_atom_site_fract_z
_atom_site_occupancy
Rb1 Rb 0.000 0.000 0.500 1
Rb2 Rb 0.500 0.000 0.000 1
Ru1 Ru 0.000 0.500 0.000 1
Sr1 Sr 0.000 0.000 0.000 1
Zr1 Zr 0.500 0.500 0.500 1
```

[3]
Material: RbTaRu2
Method: DFT, PBE-GGA
State: optimized geometry

Output
ΔH_f (0 K) in eV per atom: 1.38
DFT total energy in eV for the cell shown: -51.7
Energy above the most stable polymorph in this dataset in meV/atom: 165
Space group: I-42d
Magnetization in μB/atom: 0.000

Geometry as CIF:
```
data_RbTaRu2
_chemical_formula_sum 'Rb2 Ta2 Ru4'
_symmetry_space_group_name_H-M 'P 1'
_symmetry_Int_Tables_number 1
_cell_length_a 5.334
_cell_length_b 5.334
_cell_length_c 8.785
_cell_angle_alpha 72.33
_cell_angle_beta 72.33
_cell_angle_gamma 90.00
loop_
_symmetry_equiv_pos_as_xyz
'x,y,z'
loop_
_atom_site_label
_atom_site_type_symbol
_atom_site_fract_x
_atom_site_fract_y
_atom_site_fract_z
_atom_site_occupancy
Ru1 Ru 0.953 0.625 0.250 1
Ru2 Ru 0.797 0.125 0.250 1
Ru3 Ru 0.375 0.203 0.750 1
Ru4 Ru 0.875 0.047 0.750 1
Ta1 Ta 0.000 0.000 0.000 1
Ta2 Ta 0.750 0.250 0.500 1
Rb1 Rb 0.250 0.750 0.500 1
Rb2 Rb 0.500 0.500 0.000 1
```

[4]
Material: RbTa2Ru
Method: DFT, PBE-GGA
State: optimized geometry

Output
ΔH_f (0 K) in eV per atom: 1.44
DFT total energy in eV for the cell shown: -28.2
Energy above the most stable polymorph in this dataset in meV/atom: 0
Space group: Fm-3m
Magnetization in μB/atom: 0.000

Geometry as CIF:
```
data_RbTa2Ru
_chemical_formula_sum 'Rb1 Ta2 Ru1'
_symmetry_space_group_name_H-M 'P 1'
_symmetry_Int_Tables_number 1
_cell_length_a 4.744
_cell_length_b 4.744
_cell_length_c 4.744
_cell_angle_alpha 60.00
_cell_angle_beta 60.00
_cell_angle_gamma 60.00
loop_
_symmetry_equiv_pos_as_xyz
'x,y,z'
loop_
_atom_site_label
_atom_site_type_symbol
_atom_site_fract_x
_atom_site_fract_y
_atom_site_fract_z
_atom_site_occupancy
Ta1 Ta 0.250 0.250 0.250 1
Ta2 Ta 0.750 0.750 0.750 1
Ru1 Ru 0.500 0.500 0.500 1
Rb1 Rb 0.000 0.000 0.000 1
```

[5]
Material: Rb3TaRu
Method: DFT, PBE-GGA
State: optimized geometry

Output
ΔH_f (0 K) in eV per atom: 2.20
DFT total energy in eV for the cell shown: -13.1
Space group: Pm-3m
Magnetization in μB/atom: 0.829

Geometry as CIF:
```
data_Rb3TaRu
_chemical_formula_sum 'Rb3 Ta1 Ru1'
_symmetry_space_group_name_H-M 'P 1'
_symmetry_Int_Tables_number 1
_cell_length_a 6.011
_cell_length_b 6.011
_cell_length_c 6.011
_cell_angle_alpha 90.00
_cell_angle_beta 90.00
_cell_angle_gamma 90.00
loop_
_symmetry_equiv_pos_as_xyz
'x,y,z'
loop_
_atom_site_label
_atom_site_type_symbol
_atom_site_fract_x
_atom_site_fract_y
_atom_site_fract_z
_atom_site_occupancy
Rb1 Rb 0.500 0.000 0.000 1
Rb2 Rb 0.000 0.000 0.500 1
Rb3 Rb 0.000 0.500 0.000 1
Ru1 Ru 0.000 0.000 0.000 1
Ta1 Ta 0.500 0.500 0.500 1
```

[6]
Material: RbTa2Ru
Method: DFT, PBE-GGA
State: optimized geometry

Output
ΔH_f (0 K) in eV per atom: 1.61
DFT total energy in eV for the cell shown: -55.0
Energy above the most stable polymorph in this dataset in meV/atom: 177
Space group: I4_1/amd
Magnetization in μB/atom: 0.000

Geometry as CIF:
```
data_RbTa2Ru
_chemical_formula_sum 'Rb2 Ta4 Ru2'
_symmetry_space_group_name_H-M 'P 1'
_symmetry_Int_Tables_number 1
_cell_length_a 5.473
_cell_length_b 5.473
_cell_length_c 9.264
_cell_angle_alpha 72.82
_cell_angle_beta 72.82
_cell_angle_gamma 90.00
loop_
_symmetry_equiv_pos_as_xyz
'x,y,z'
loop_
_atom_site_label
_atom_site_type_symbol
_atom_site_fract_x
_atom_site_fract_y
_atom_site_fract_z
_atom_site_occupancy
Rb1 Rb 0.250 0.750 0.500 1
Rb2 Rb 0.500 0.500 0.000 1
Ta1 Ta 0.875 0.125 0.750 1
Ta2 Ta 0.875 0.125 0.250 1
Ta3 Ta 0.375 0.125 0.750 1
Ta4 Ta 0.875 0.625 0.250 1
Ru1 Ru 0.750 0.250 0.500 1
Ru2 Ru 0.000 0.000 0.000 1
```

[7]
Material: RbTa3Ru
Method: DFT, PBE-GGA
State: optimized geometry

Output
ΔH_f (0 K) in eV per atom: 1.42
DFT total energy in eV for the cell shown: -38.7
Energy above the most stable polymorph in this dataset in meV/atom: 0
Space group: Pm-3m
Magnetization in μB/atom: 0.163

Geometry as CIF:
```
data_RbTa3Ru
_chemical_formula_sum 'Rb1 Ta3 Ru1'
_symmetry_space_group_name_H-M 'P 1'
_symmetry_Int_Tables_number 1
_cell_length_a 4.975
_cell_length_b 4.975
_cell_length_c 4.975
_cell_angle_alpha 90.00
_cell_angle_beta 90.00
_cell_angle_gamma 90.00
loop_
_symmetry_equiv_pos_as_xyz
'x,y,z'
loop_
_atom_site_label
_atom_site_type_symbol
_atom_site_fract_x
_atom_site_fract_y
_atom_site_fract_z
_atom_site_occupancy
Ta1 Ta 0.000 0.000 0.500 1
Ta2 Ta 0.000 0.500 0.000 1
Ta3 Ta 0.500 0.000 0.000 1
Rb1 Rb 0.500 0.500 0.500 1
Ru1 Ru 0.000 0.000 0.000 1
```

[8]
Material: RbTaRu2
Method: DFT, PBE-GGA
State: optimized geometry

Output
ΔH_f (0 K) in eV per atom: 1.22
DFT total energy in eV for the cell shown: -26.5
Energy above the most stable polymorph in this dataset in meV/atom: 0
Space group: Fm-3m
Magnetization in μB/atom: 0.000

Geometry as CIF:
```
data_RbTaRu2
_chemical_formula_sum 'Rb1 Ta1 Ru2'
_symmetry_space_group_name_H-M 'P 1'
_symmetry_Int_Tables_number 1
_cell_length_a 4.695
_cell_length_b 4.695
_cell_length_c 4.695
_cell_angle_alpha 60.00
_cell_angle_beta 60.00
_cell_angle_gamma 60.00
loop_
_symmetry_equiv_pos_as_xyz
'x,y,z'
loop_
_atom_site_label
_atom_site_type_symbol
_atom_site_fract_x
_atom_site_fract_y
_atom_site_fract_z
_atom_site_occupancy
Ru1 Ru 0.750 0.750 0.750 1
Ru2 Ru 0.250 0.250 0.250 1
Rb1 Rb 0.000 0.000 0.000 1
Ta1 Ta 0.500 0.500 0.500 1
```

[9]
Material: RbTa3Ru
Method: DFT, PBE-GGA
State: optimized geometry

Output
ΔH_f (0 K) in eV per atom: 3.33
DFT total energy in eV for the cell shown: -29.1
Energy above the most stable polymorph in this dataset in meV/atom: 1912
Space group: Pm-3m
Magnetization in μB/atom: 0.000

Geometry as CIF:
```
data_RbTa3Ru
_chemical_formula_sum 'Rb1 Ta3 Ru1'
_symmetry_space_group_name_H-M 'P 1'
_symmetry_Int_Tables_number 1
_cell_length_a 4.704
_cell_length_b 4.704
_cell_length_c 4.704
_cell_angle_alpha 90.00
_cell_angle_beta 90.00
_cell_angle_gamma 90.00
loop_
_symmetry_equiv_pos_as_xyz
'x,y,z'
loop_
_atom_site_label
_atom_site_type_symbol
_atom_site_fract_x
_atom_site_fract_y
_atom_site_fract_z
_atom_site_occupancy
Rb1 Rb 0.000 0.000 0.000 1
Ta1 Ta 0.000 0.500 0.000 1
Ta2 Ta 0.000 0.000 0.500 1
Ta3 Ta 0.500 0.000 0.000 1
Ru1 Ru 0.500 0.500 0.500 1
```

[10]
Material: RbTa2ZnRu
Method: DFT, PBE-GGA
State: optimized geometry

Output
ΔH_f (0 K) in eV per atom: 3.24
DFT total energy in eV for the cell shown: -19.0
Space group: P4/mmm
Magnetization in μB/atom: 0.268

Geometry as CIF:
```
data_RbTa2ZnRu
_chemical_formula_sum 'Rb1 Ta2 Zn1 Ru1'
_symmetry_space_group_name_H-M 'P 1'
_symmetry_Int_Tables_number 1
_cell_length_a 4.774
_cell_length_b 4.774
_cell_length_c 4.818
_cell_angle_alpha 90.00
_cell_angle_beta 90.00
_cell_angle_gamma 90.00
loop_
_symmetry_equiv_pos_as_xyz
'x,y,z'
loop_
_atom_site_label
_atom_site_type_symbol
_atom_site_fract_x
_atom_site_fract_y
_atom_site_fract_z
_atom_site_occupancy
Ta1 Ta 0.500 0.000 0.000 1
Ta2 Ta 0.000 0.500 0.000 1
Ru1 Ru 0.500 0.500 0.500 1
Zn1 Zn 0.000 0.000 0.500 1
Rb1 Rb 0.000 0.000 0.000 1
```

[11]
Material: RbTb2Ru
Method: DFT, PBE-GGA
State: optimized geometry

Output
ΔH_f (0 K) in eV per atom: 0.03
DFT total energy in eV for the cell shown: -19.4
Space group: R-3m
Magnetization in μB/atom: 0.000

Geometry as CIF:
```
data_RbTb2Ru
_chemical_formula_sum 'Rb1 Tb2 Ru1'
_symmetry_space_group_name_H-M 'P 1'
_symmetry_Int_Tables_number 1
_cell_length_a 4.091
_cell_length_b 4.091
_cell_length_c 11.350
_cell_angle_alpha 79.62
_cell_angle_beta 79.62
_cell_angle_gamma 60.00
loop_
_symmetry_equiv_pos_as_xyz
'x,y,z'
loop_
_atom_site_label
_atom_site_type_symbol
_atom_site_fract_x
_atom_site_fract_y
_atom_site_fract_z
_atom_site_occupancy
Rb1 Rb 0.000 0.000 0.000 1
Tb1 Tb 0.124 0.124 0.627 1
Tb2 Tb 0.876 0.876 0.373 1
Ru1 Ru 0.500 0.500 0.500 1
```

[12]
Material: RbTcRu3
Method: DFT, PBE-GGA
State: optimized geometry

Output
ΔH_f (0 K) in eV per atom: 3.43
DFT total energy in eV for the cell shown: -22.0
Energy above the most stable polymorph in this dataset in meV/atom: 1886
Space group: Pm-3m
Magnetization in μB/atom: 0.004

Geometry as CIF:
```
data_RbTcRu3
_chemical_formula_sum 'Rb1 Tc1 Ru3'
_symmetry_space_group_name_H-M 'P 1'
_symmetry_Int_Tables_number 1
_cell_length_a 4.590
_cell_length_b 4.590
_cell_length_c 4.590
_cell_angle_alpha 90.00
_cell_angle_beta 90.00
_cell_angle_gamma 90.00
loop_
_symmetry_equiv_pos_as_xyz
'x,y,z'
loop_
_atom_site_label
_atom_site_type_symbol
_atom_site_fract_x
_atom_site_fract_y
_atom_site_fract_z
_atom_site_occupancy
Tc1 Tc 0.500 0.500 0.500 1
Ru1 Ru 0.500 0.000 0.000 1
Ru2 Ru 0.000 0.500 0.000 1
Ru3 Ru 0.000 0.000 0.500 1
Rb1 Rb 0.000 0.000 0.000 1
```

[13]
Material: RbTcRu3
Method: DFT, PBE-GGA
State: optimized geometry

Output
ΔH_f (0 K) in eV per atom: 1.55
DFT total energy in eV for the cell shown: -31.4
Energy above the most stable polymorph in this dataset in meV/atom: 0
Space group: Pm-3m
Magnetization in μB/atom: 0.368

Geometry as CIF:
```
data_RbTcRu3
_chemical_formula_sum 'Rb1 Tc1 Ru3'
_symmetry_space_group_name_H-M 'P 1'
_symmetry_Int_Tables_number 1
_cell_length_a 4.793
_cell_length_b 4.793
_cell_length_c 4.793
_cell_angle_alpha 90.00
_cell_angle_beta 90.00
_cell_angle_gamma 90.00
loop_
_symmetry_equiv_pos_as_xyz
'x,y,z'
loop_
_atom_site_label
_atom_site_type_symbol
_atom_site_fract_x
_atom_site_fract_y
_atom_site_fract_z
_atom_site_occupancy
Tc1 Tc 0.000 0.000 0.000 1
Ru1 Ru 0.000 0.500 0.000 1
Ru2 Ru 0.500 0.000 0.000 1
Ru3 Ru 0.000 0.000 0.500 1
Rb1 Rb 0.500 0.500 0.500 1
```

[14]
Material: RbTcRu2
Method: DFT, PBE-GGA
State: optimized geometry

Output
ΔH_f (0 K) in eV per atom: 1.63
DFT total energy in eV for the cell shown: -23.4
Energy above the most stable polymorph in this dataset in meV/atom: 218
Space group: Fm-3m
Magnetization in μB/atom: 0.000

Geometry as CIF:
```
data_RbTcRu2
_chemical_formula_sum 'Rb1 Tc1 Ru2'
_symmetry_space_group_name_H-M 'P 1'
_symmetry_Int_Tables_number 1
_cell_length_a 4.607
_cell_length_b 4.607
_cell_length_c 4.607
_cell_angle_alpha 60.00
_cell_angle_beta 60.00
_cell_angle_gamma 60.00
loop_
_symmetry_equiv_pos_as_xyz
'x,y,z'
loop_
_atom_site_label
_atom_site_type_symbol
_atom_site_fract_x
_atom_site_fract_y
_atom_site_fract_z
_atom_site_occupancy
Ru1 Ru 0.750 0.750 0.750 1
Ru2 Ru 0.250 0.250 0.250 1
Rb1 Rb 0.000 0.000 0.000 1
Tc1 Tc 0.500 0.500 0.500 1
```